1.
Rb2BeSn | PBE-GGA | relaxed

Values from the calculation:
The offset from the most stable computed form comes out at 0 meV/atom. The crystal system is tetragonal. The formation enthalpy at 0 K is 0.19 eV per atom. The value obtained for the magnetic moment is 0.000 μB/f.u.

Lattice parameters (Å, degrees): 9.775 9.775 9.775 93.11 93.11 153.08
Sites, in units of the cell vectors:
Rb: 0.375 0.169 0.294
Rb: 0.831 0.125 0.206
Rb: 0.875 0.081 0.706
Rb: 0.919 0.625 0.794
Be: 0.000 0.000 0.000
Be: 0.750 0.250 0.500
Sn: 0.250 0.750 0.500
Sn: 0.500 0.500 0.000


2.
Li2HI | PBE-GGA | relaxed

Values from the calculation:
The offset from the most stable computed form comes out at 322 meV/atom. The crystal system is cubic. The value obtained for the magnetic moment is 0.000 μB/f.u.

Lattice parameters (Å, degrees): 4.715 4.715 4.715 60.00 60.00 60.00
Sites, in units of the cell vectors:
Li: 0.250 0.250 0.250
Li: 0.750 0.750 0.750
H: 0.000 0.000 0.000
I: 0.500 0.500 0.500


3.
NaPm2Co | PBE-GGA | relaxed

Values from the calculation:
The offset from the most stable computed form comes out at 0 meV/atom. The crystal system is trigonal. The formation enthalpy at 0 K is 0.01 eV per atom. The value obtained for the magnetic moment is 0.000 μB/f.u.

Lattice parameters (Å, degrees): 9.559 9.559 9.559 23.92 23.92 23.92
Sites, in units of the cell vectors:
Na: 0.000 0.000 0.000
Pm: 0.220 0.220 0.220
Pm: 0.448 0.448 0.448
Co: 0.834 0.834 0.834


4.
TmCdHg | PBE-GGA | relaxed

Values from the calculation:
The crystal system is orthorhombic. The formation enthalpy at 0 K is -0.33 eV per atom. The value obtained for the magnetic moment is 0.000 μB/f.u.

Lattice parameters (Å, degrees): 5.978 5.978 5.978 131.32 110.84 89.09
Sites, in units of the cell vectors:
Tm: 0.248 0.000 0.248
Tm: 0.752 0.000 0.752
Cd: 0.335 0.335 0.000
Cd: 0.665 0.665 0.000
Hg: 0.170 0.670 0.500
Hg: 0.830 0.330 0.500


5.
PrNd2TmH | PBE-GGA | relaxed

Values from the calculation:
The crystal system is tetragonal. The value obtained for the magnetic moment is 0.000 μB/f.u.

Lattice parameters (Å, degrees): 5.146 5.146 5.070 90.00 90.00 90.00
Sites, in units of the cell vectors:
Pr: 0.000 0.000 0.000
Nd: 0.000 0.500 0.500
Nd: 0.500 0.000 0.500
Tm: 0.500 0.500 0.000
H: 0.500 0.500 0.500


6.
Sr5HoHg6 | PBE-GGA | relaxed

Values from the calculation:
The crystal system is monoclinic. The formation enthalpy at 0 K is -0.51 eV per atom. The value obtained for the magnetic moment is 0.000 μB/f.u.

Lattice parameters (Å, degrees): 5.567 7.929 8.804 90.00 108.39 90.00
Sites, in units of the cell vectors:
Sr: 0.000 0.000 0.000
Sr: 0.332 0.000 0.663
Sr: 0.333 0.500 0.665
Sr: 0.667 0.500 0.335
Sr: 0.668 0.000 0.337
Ho: 0.000 0.500 0.000
Hg: 0.157 0.261 0.317
Hg: 0.157 0.739 0.317
Hg: 0.500 0.269 0.000
Hg: 0.500 0.731 0.000
Hg: 0.843 0.261 0.683
Hg: 0.843 0.739 0.683


7.
CaAgBiCl6 | PBE-GGA | relaxed

Values from the calculation:
The crystal system is trigonal. The value obtained for the magnetic moment is 0.000 μB/f.u.

Lattice parameters (Å, degrees): 6.981 6.981 12.207 90.00 90.00 120.00
Sites, in units of the cell vectors:
Ca: 0.333 0.667 0.250
Ca: 0.667 0.333 0.750
Ag: 0.000 0.000 0.000
Ag: 0.000 0.000 0.500
Bi: 0.333 0.667 0.750
Bi: 0.667 0.333 0.250
Cl: 0.002 0.343 0.626
Cl: 0.002 0.659 0.874
Cl: 0.341 0.343 0.874
Cl: 0.341 0.998 0.626
Cl: 0.343 0.002 0.126
Cl: 0.343 0.341 0.374
Cl: 0.657 0.659 0.626
Cl: 0.657 0.998 0.874
Cl: 0.659 0.002 0.374
Cl: 0.659 0.657 0.126
Cl: 0.998 0.341 0.126
Cl: 0.998 0.657 0.374


8.
Zr2TlCd | PBE-GGA | relaxed

Values from the calculation:
The crystal system is tetragonal. The formation enthalpy at 0 K is -0.03 eV per atom. The value obtained for the magnetic moment is 0.000 μB/f.u.

Lattice parameters (Å, degrees): 5.749 5.749 5.749 135.98 135.98 64.02
Sites, in units of the cell vectors:
Zr: 0.000 0.000 0.000
Zr: 0.750 0.250 0.500
Tl: 0.500 0.500 0.000
Cd: 0.250 0.750 0.500


9.
SrEu4Dy | PBE-GGA | relaxed

Values from the calculation:
The crystal system is cubic. The formation enthalpy at 0 K is 0.21 eV per atom. The value obtained for the magnetic moment is 30.709 μB/f.u.

Lattice parameters (Å, degrees): 7.121 7.121 7.121 60.00 60.00 60.00
Sites, in units of the cell vectors:
Sr: 0.000 0.000 0.000
Eu: 0.130 0.623 0.623
Eu: 0.623 0.130 0.623
Eu: 0.623 0.623 0.130
Eu: 0.623 0.623 0.623
Dy: 0.250 0.250 0.250


10.
LiCrI4 | PBE-GGA | relaxed

Values from the calculation:
The offset from the most stable computed form comes out at 0 meV/atom. The crystal system is monoclinic. The value obtained for the magnetic moment is 2.998 μB/f.u.

Lattice parameters (Å, degrees): 8.441 8.441 7.199 113.44 113.44 27.85
Sites, in units of the cell vectors:
Li: 0.000 0.000 0.000
Cr: 0.500 0.500 0.500
I: 0.105 0.105 0.745
I: 0.394 0.394 0.711
I: 0.606 0.606 0.289
I: 0.895 0.895 0.255


11.
CeEr3 | PBE-GGA | relaxed

Values from the calculation:
The offset from the most stable computed form comes out at 0 meV/atom. The crystal system is orthorhombic. The formation enthalpy at 0 K is 0.06 eV per atom. The value obtained for the magnetic moment is 1.006 μB/f.u.

Lattice parameters (Å, degrees): 6.655 6.655 6.655 148.89 64.49 125.06
Sites, in units of the cell vectors:
Ce: 0.000 0.000 0.000
Er: 0.092 0.342 0.750
Er: 0.508 0.008 0.500
Er: 0.592 0.342 0.250


12.
CsTcI3 | PBE-GGA | relaxed

Values from the calculation:
The offset from the most stable computed form comes out at 62 meV/atom. The crystal system is cubic. The value obtained for the magnetic moment is 3.551 μB/f.u.

Lattice parameters (Å, degrees): 5.775 5.775 5.775 90.00 90.00 90.00
Sites, in units of the cell vectors:
Cs: 0.000 0.000 0.000
Tc: 0.500 0.500 0.500
I: 0.000 0.500 0.500
I: 0.500 0.000 0.500
I: 0.500 0.500 0.000


13.
HfAs2Pt | PBE-GGA | relaxed

Values from the calculation:
The offset from the most stable computed form comes out at 0 meV/atom. The crystal system is cubic. The formation enthalpy at 0 K is -0.33 eV per atom. The value obtained for the magnetic moment is 0.000 μB/f.u.

Lattice parameters (Å, degrees): 4.632 4.632 4.632 60.00 60.00 60.00
Sites, in units of the cell vectors:
Hf: 0.000 0.000 0.000
As: 0.250 0.250 0.250
As: 0.750 0.750 0.750
Pt: 0.500 0.500 0.500


14.
K2AgSn2Te4 | PBE-GGA | relaxed

Values from the calculation:
The crystal system is monoclinic. The value obtained for the magnetic moment is 0.000 μB/f.u.

Lattice parameters (Å, degrees): 9.849 9.849 7.877 95.75 95.75 24.86
Sites, in units of the cell vectors:
K: 0.115 0.115 0.076
K: 0.885 0.885 0.924
Ag: 0.000 0.000 0.500
Sn: 0.342 0.342 0.440
Sn: 0.658 0.658 0.560
Te: 0.235 0.235 0.761
Te: 0.483 0.483 0.255
Te: 0.517 0.517 0.745
Te: 0.765 0.765 0.239


15.
CuAs | PBE-GGA | relaxed

Values from the calculation:
The crystal system is orthorhombic. The formation enthalpy at 0 K is 0.16 eV per atom. The value obtained for the magnetic moment is 0.000 μB/f.u.

Lattice parameters (Å, degrees): 3.197 5.081 3.945 90.00 90.00 90.00
Sites, in units of the cell vectors:
Cu: 0.250 0.250 0.187
Cu: 0.750 0.750 0.813
As: 0.250 0.750 0.311
As: 0.750 0.250 0.689


16.
HgBi2Se4 | PBE-GGA | relaxed

Values from the calculation:
The offset from the most stable computed form comes out at 408 meV/atom. The crystal system is tetragonal. The value obtained for the magnetic moment is 0.000 μB/f.u.

Lattice parameters (Å, degrees): 8.234 8.234 8.234 140.53 140.53 57.04
Sites, in units of the cell vectors:
Hg: 0.000 0.000 0.000
Bi: 0.383 0.383 0.000
Bi: 0.617 0.617 0.000
Se: 0.000 0.500 0.500
Se: 0.209 0.209 0.000
Se: 0.500 0.000 0.500
Se: 0.791 0.791 0.000


17.
Ti2Cu2Pd | PBE-GGA | relaxed

Values from the calculation:
The offset from the most stable computed form comes out at 0 meV/atom. The crystal system is tetragonal. The formation enthalpy at 0 K is -0.19 eV per atom. The value obtained for the magnetic moment is 0.000 μB/f.u.

Lattice parameters (Å, degrees): 6.752 6.752 3.224 90.00 90.00 90.00
Sites, in units of the cell vectors:
Ti: 0.172 0.328 0.000
Ti: 0.328 0.828 0.000
Ti: 0.672 0.172 0.000
Ti: 0.828 0.672 0.000
Cu: 0.127 0.627 0.500
Cu: 0.373 0.127 0.500
Cu: 0.627 0.873 0.500
Cu: 0.873 0.373 0.500
Pd: 0.000 0.000 0.500
Pd: 0.500 0.500 0.500


18.
Sr2CuRh | PBE-GGA | relaxed

Values from the calculation:
The crystal system is tetragonal. The formation enthalpy at 0 K is -0.05 eV per atom. The value obtained for the magnetic moment is 0.000 μB/f.u.

Lattice parameters (Å, degrees): 5.269 5.269 3.633 90.00 90.00 90.00
Sites, in units of the cell vectors:
Sr: 0.000 0.500 0.000
Sr: 0.500 0.000 0.000
Cu: 0.000 0.000 0.500
Rh: 0.500 0.500 0.500


19.
Li3ZnCd | PBE-GGA | relaxed

Values from the calculation:
The offset from the most stable computed form comes out at 489 meV/atom. The crystal system is cubic. The formation enthalpy at 0 K is 0.30 eV per atom. The value obtained for the magnetic moment is 0.000 μB/f.u.

Lattice parameters (Å, degrees): 5.016 5.016 5.016 90.00 90.00 90.00
Sites, in units of the cell vectors:
Li: 0.000 0.000 0.500
Li: 0.000 0.500 0.000
Li: 0.500 0.000 0.000
Zn: 0.500 0.500 0.500
Cd: 0.000 0.000 0.000


20.
Ce6MnPb2N | PBE-GGA | relaxed

Values from the calculation:
The crystal system is tetragonal. The value obtained for the magnetic moment is 2.327 μB/f.u.

Lattice parameters (Å, degrees): 7.202 7.202 7.202 121.84 121.84 86.84
Sites, in units of the cell vectors:
Ce: 0.230 0.230 0.000
Ce: 0.249 0.249 0.498
Ce: 0.249 0.751 0.000
Ce: 0.751 0.249 0.000
Ce: 0.751 0.751 0.502
Ce: 0.770 0.770 0.000
Mn: 0.500 0.500 0.000
Pb: 0.250 0.750 0.500
Pb: 0.750 0.250 0.500
N: 0.000 0.000 0.000


E_tot (computed, eV per atom): -2.228 -2.559 -4.476 -2.228 -4.598 -1.742 -3.525 -5.121 -7.692 -3.596 -4.843 -3.535 -6.658 -3.308 -4.209 -3.042 -6.023 -3.752 -1.290 -6.486